No. 1
# Tl2GeBr4 (PBE, relaxed)
# - Total energy: -2.9964 eV/atom
# - Offset from the most stable computed form: 15 meV/atom
# - Energy relative to the elements, uncorrected: -68.0 kJ per mole of atoms
data_Tl2GeBr4
_chemical_formula_sum 'Tl4 Ge2 Br8'
_cell_length_a 8.9785
_cell_length_b 7.2753
_cell_length_c 9.3506
_cell_angle_alpha 90.00
_cell_angle_beta 115.65
_cell_angle_gamma 90.00
_space_group_name_H-M_alt 'P 1'
_space_group_IT_number 1
loop_
_space_group_symop_operation_xyz
'x,y,z'
loop_
_atom_site_label
_atom_site_type_symbol
_atom_site_fract_x
_atom_site_fract_y
_atom_site_fract_z
_atom_site_occupancy
Tl1 Tl 0.0556 0.2500 0.1635 1
Tl2 Tl 0.3913 0.7500 0.5900 1
Tl3 Tl 0.6087 0.2500 0.4100 1
Tl4 Tl 0.9444 0.7500 0.8365 1
Ge1 Ge 0.3050 0.2500 0.8842 1
Ge2 Ge 0.6950 0.7500 0.1158 1
Br1 Br 0.0118 0.7500 0.2485 1
Br2 Br 0.3284 0.9996 0.0833 1
Br3 Br 0.3284 0.5004 0.0833 1
Br4 Br 0.3338 0.2500 0.5146 1
Br5 Br 0.6662 0.7500 0.4854 1
Br6 Br 0.6716 0.0004 0.9167 1
Br7 Br 0.6716 0.4996 0.9167 1
Br8 Br 0.9882 0.2500 0.7515 1



No. 2
# Tl2GeBr4 (PBE, relaxed)
# - Total energy: -3.0115 eV/atom
# - Offset from the most stable computed form: 0 meV/atom
# - Energy relative to the elements, uncorrected: -69.5 kJ per mole of atoms
data_Tl2GeBr4
_chemical_formula_sum 'Tl2 Ge1 Br4'
_cell_length_a 7.3157
_cell_length_b 7.3157
_cell_length_c 9.0655
_cell_angle_alpha 115.91
_cell_angle_beta 115.91
_cell_angle_gamma 33.59
_space_group_name_H-M_alt 'P 1'
_space_group_IT_number 1
loop_
_space_group_symop_operation_xyz
'x,y,z'
loop_
_atom_site_label
_atom_site_type_symbol
_atom_site_fract_x
_atom_site_fract_y
_atom_site_fract_z
_atom_site_occupancy
Tl1 Tl 0.1439 0.1439 0.1827 1
Tl2 Tl 0.8561 0.8561 0.8173 1
Ge1 Ge 0.5000 0.5000 0.5000 1
Br1 Br 0.1524 0.1524 0.5648 1
Br2 Br 0.4527 0.4527 0.1638 1
Br3 Br 0.5473 0.5473 0.8362 1
Br4 Br 0.8476 0.8476 0.4352 1



No. 3
# Tl5Ge3Br12 (PBE, relaxed)
# - Total energy: -2.8737 eV/atom
# - Energy relative to the elements, uncorrected: -56.5 kJ per mole of atoms
data_Tl5Ge3Br12
_chemical_formula_sum 'Tl20 Ge12 Br48'
_cell_length_a 16.6290
_cell_length_b 16.6290
_cell_length_c 16.6290
_cell_angle_alpha 109.47
_cell_angle_beta 109.47
_cell_angle_gamma 109.47
_space_group_name_H-M_alt 'P 1'
_space_group_IT_number 1
loop_
_space_group_symop_operation_xyz
'x,y,z'
loop_
_atom_site_label
_atom_site_type_symbol
_atom_site_fract_x
_atom_site_fract_y
_atom_site_fract_z
_atom_site_occupancy
Tl1 Tl 0.0000 0.0000 0.0000 1
Tl2 Tl 0.0000 0.0000 0.5000 1
Tl3 Tl 0.0000 0.5000 0.0000 1
Tl4 Tl 0.0000 0.5000 0.5000 1
Tl5 Tl 0.1250 0.7500 0.8750 1
Tl6 Tl 0.1250 0.8750 0.2500 1
Tl7 Tl 0.2500 0.1250 0.8750 1
Tl8 Tl 0.2500 0.6250 0.3750 1
Tl9 Tl 0.3750 0.2500 0.6250 1
Tl10 Tl 0.3750 0.6250 0.7500 1
Tl11 Tl 0.5000 0.0000 0.0000 1
Tl12 Tl 0.5000 0.0000 0.5000 1
Tl13 Tl 0.5000 0.5000 0.0000 1
Tl14 Tl 0.5000 0.5000 0.5000 1
Tl15 Tl 0.6250 0.3750 0.2500 1
Tl16 Tl 0.6250 0.7500 0.3750 1
Tl17 Tl 0.7500 0.3750 0.6250 1
Tl18 Tl 0.7500 0.8750 0.1250 1
Tl19 Tl 0.8750 0.1250 0.7500 1
Tl20 Tl 0.8750 0.2500 0.1250 1
Ge1 Ge 0.1250 0.2500 0.3750 1
Ge2 Ge 0.1250 0.3750 0.7500 1
Ge3 Ge 0.2500 0.3750 0.1250 1
Ge4 Ge 0.2500 0.8750 0.6250 1
Ge5 Ge 0.3750 0.1250 0.2500 1
Ge6 Ge 0.3750 0.7500 0.1250 1
Ge7 Ge 0.6250 0.2500 0.8750 1
Ge8 Ge 0.6250 0.8750 0.7500 1
Ge9 Ge 0.7500 0.1250 0.3750 1
Ge10 Ge 0.7500 0.6250 0.8750 1
Ge11 Ge 0.8750 0.6250 0.2500 1
Ge12 Ge 0.8750 0.7500 0.6250 1
Br1 Br 0.0066 0.6289 0.1922 1
Br2 Br 0.0066 0.8777 0.8143 1
Br3 Br 0.0634 0.1857 0.6922 1
Br4 Br 0.0634 0.3777 0.3711 1
Br5 Br 0.1223 0.1857 0.9934 1
Br6 Br 0.1223 0.4366 0.1289 1
Br7 Br 0.1289 0.1223 0.4366 1
Br8 Br 0.1289 0.5066 0.6922 1
Br9 Br 0.1857 0.6922 0.0634 1
Br10 Br 0.1857 0.9934 0.1223 1
Br11 Br 0.1922 0.0066 0.6289 1
Br12 Br 0.1922 0.6857 0.5634 1
Br13 Br 0.3078 0.8711 0.4934 1
Br14 Br 0.3078 0.9366 0.8143 1
Br15 Br 0.3143 0.3777 0.5066 1
Br16 Br 0.3143 0.4366 0.8078 1
Br17 Br 0.3711 0.0634 0.3777 1
Br18 Br 0.3711 0.8078 0.9934 1
Br19 Br 0.3777 0.3711 0.0634 1
Br20 Br 0.3777 0.5066 0.3143 1
Br21 Br 0.4366 0.1289 0.1223 1
Br22 Br 0.4366 0.8078 0.3143 1
Br23 Br 0.4934 0.3078 0.8711 1
Br24 Br 0.4934 0.6857 0.6223 1
Br25 Br 0.5066 0.3143 0.3777 1
Br26 Br 0.5066 0.6922 0.1289 1
Br27 Br 0.5634 0.1922 0.6857 1
Br28 Br 0.5634 0.8711 0.8777 1
Br29 Br 0.6223 0.4934 0.6857 1
Br30 Br 0.6223 0.6289 0.9366 1
Br31 Br 0.6289 0.1922 0.0066 1
Br32 Br 0.6289 0.9366 0.6223 1
Br33 Br 0.6857 0.5634 0.1922 1
Br34 Br 0.6857 0.6223 0.4934 1
Br35 Br 0.6922 0.0634 0.1857 1
Br36 Br 0.6922 0.1289 0.5066 1
Br37 Br 0.8078 0.3143 0.4366 1
Br38 Br 0.8078 0.9934 0.3711 1
Br39 Br 0.8143 0.0066 0.8777 1
Br40 Br 0.8143 0.3078 0.9366 1
Br41 Br 0.8711 0.4934 0.3078 1
Br42 Br 0.8711 0.8777 0.5634 1
Br43 Br 0.8777 0.5634 0.8711 1
Br44 Br 0.8777 0.8143 0.0066 1
Br45 Br 0.9366 0.6223 0.6289 1
Br46 Br 0.9366 0.8143 0.3078 1
Br47 Br 0.9934 0.1223 0.1857 1
Br48 Br 0.9934 0.3711 0.8078 1



No. 4
# Tl3Ge5Br12 (PBE, relaxed)
# - Total energy: -3.0326 eV/atom
# - Energy relative to the elements, uncorrected: -50.1 kJ per mole of atoms
data_Tl3Ge5Br12
_chemical_formula_sum 'Tl12 Ge20 Br48'
_cell_length_a 15.6577
_cell_length_b 15.6577
_cell_length_c 15.6577
_cell_angle_alpha 109.47
_cell_angle_beta 109.47
_cell_angle_gamma 109.47
_space_group_name_H-M_alt 'P 1'
_space_group_IT_number 1
loop_
_space_group_symop_operation_xyz
'x,y,z'
loop_
_atom_site_label
_atom_site_type_symbol
_atom_site_fract_x
_atom_site_fract_y
_atom_site_fract_z
_atom_site_occupancy
Tl1 Tl 0.1250 0.2500 0.3750 1
Tl2 Tl 0.1250 0.3750 0.7500 1
Tl3 Tl 0.2500 0.3750 0.1250 1
Tl4 Tl 0.2500 0.8750 0.6250 1
Tl5 Tl 0.3750 0.1250 0.2500 1
Tl6 Tl 0.3750 0.7500 0.1250 1
Tl7 Tl 0.6250 0.2500 0.8750 1
Tl8 Tl 0.6250 0.8750 0.7500 1
Tl9 Tl 0.7500 0.1250 0.3750 1
Tl10 Tl 0.7500 0.6250 0.8750 1
Tl11 Tl 0.8750 0.6250 0.2500 1
Tl12 Tl 0.8750 0.7500 0.6250 1
Ge1 Ge 0.0000 0.0000 0.0000 1
Ge2 Ge 0.0000 0.0000 0.5000 1
Ge3 Ge 0.0000 0.5000 0.0000 1
Ge4 Ge 0.0000 0.5000 0.5000 1
Ge5 Ge 0.1250 0.7500 0.8750 1
Ge6 Ge 0.1250 0.8750 0.2500 1
Ge7 Ge 0.2500 0.1250 0.8750 1
Ge8 Ge 0.2500 0.6250 0.3750 1
Ge9 Ge 0.3750 0.2500 0.6250 1
Ge10 Ge 0.3750 0.6250 0.7500 1
Ge11 Ge 0.5000 0.0000 0.0000 1
Ge12 Ge 0.5000 0.0000 0.5000 1
Ge13 Ge 0.5000 0.5000 0.0000 1
Ge14 Ge 0.5000 0.5000 0.5000 1
Ge15 Ge 0.6250 0.3750 0.2500 1
Ge16 Ge 0.6250 0.7500 0.3750 1
Ge17 Ge 0.7500 0.3750 0.6250 1
Ge18 Ge 0.7500 0.8750 0.1250 1
Ge19 Ge 0.8750 0.1250 0.7500 1
Ge20 Ge 0.8750 0.2500 0.1250 1
Br1 Br 0.0222 0.1988 0.1141 1
Br2 Br 0.0222 0.3235 0.9081 1
Br3 Br 0.0847 0.6988 0.6765 1
Br4 Br 0.0847 0.8859 0.4081 1
Br5 Br 0.0919 0.6141 0.4153 1
Br6 Br 0.0919 0.9778 0.6765 1
Br7 Br 0.1141 0.0222 0.1988 1
Br8 Br 0.1141 0.5919 0.9153 1
Br9 Br 0.1765 0.1988 0.5847 1
Br10 Br 0.1765 0.4778 0.5919 1
Br11 Br 0.1988 0.1141 0.0222 1
Br12 Br 0.1988 0.5847 0.1765 1
Br13 Br 0.3012 0.3235 0.9153 1
Br14 Br 0.3012 0.4778 0.3859 1
Br15 Br 0.3235 0.9081 0.0222 1
Br16 Br 0.3235 0.9153 0.3012 1
Br17 Br 0.3859 0.3012 0.4778 1
Br18 Br 0.3859 0.5847 0.9081 1
Br19 Br 0.4081 0.0847 0.8859 1
Br20 Br 0.4081 0.8235 0.5222 1
Br21 Br 0.4153 0.0919 0.6141 1
Br22 Br 0.4153 0.8235 0.8012 1
Br23 Br 0.4778 0.3859 0.3012 1
Br24 Br 0.4778 0.5919 0.1765 1
Br25 Br 0.5222 0.4081 0.8235 1
Br26 Br 0.5222 0.6141 0.6988 1
Br27 Br 0.5847 0.1765 0.1988 1
Br28 Br 0.5847 0.9081 0.3859 1
Br29 Br 0.5919 0.1765 0.4778 1
Br30 Br 0.5919 0.9153 0.1141 1
Br31 Br 0.6141 0.4153 0.0919 1
Br32 Br 0.6141 0.6988 0.5222 1
Br33 Br 0.6765 0.0847 0.6988 1
Br34 Br 0.6765 0.0919 0.9778 1
Br35 Br 0.6988 0.5222 0.6141 1
Br36 Br 0.6988 0.6765 0.0847 1
Br37 Br 0.8012 0.4153 0.8235 1
Br38 Br 0.8012 0.8859 0.9778 1
Br39 Br 0.8235 0.5222 0.4081 1
Br40 Br 0.8235 0.8012 0.4153 1
Br41 Br 0.8859 0.4081 0.0847 1
Br42 Br 0.8859 0.9778 0.8012 1
Br43 Br 0.9081 0.0222 0.3235 1
Br44 Br 0.9081 0.3859 0.5847 1
Br45 Br 0.9153 0.1141 0.5919 1
Br46 Br 0.9153 0.3012 0.3235 1
Br47 Br 0.9778 0.6765 0.0919 1
Br48 Br 0.9778 0.8012 0.8859 1



No. 5
# TlGe2Br2 (PBE, relaxed)
# - Total energy: -2.8448 eV/atom
# - Offset from the most stable computed form: 364 meV/atom
# - Energy relative to the elements, uncorrected: 14.0 kJ per mole of atoms
data_TlGe2Br2
_chemical_formula_sum 'Tl2 Ge4 Br4'
_cell_length_a 9.1392
_cell_length_b 9.1392
_cell_length_c 3.4250
_cell_angle_alpha 90.00
_cell_angle_beta 90.00
_cell_angle_gamma 90.00
_space_group_name_H-M_alt 'P 1'
_space_group_IT_number 1
loop_
_space_group_symop_operation_xyz
'x,y,z'
loop_
_atom_site_label
_atom_site_type_symbol
_atom_site_fract_x
_atom_site_fract_y
_atom_site_fract_z
_atom_site_occupancy
Tl1 Tl 0.0000 0.0000 0.0000 1
Tl2 Tl 0.5000 0.5000 0.0000 1
Ge1 Ge 0.2139 0.2861 0.5000 1
Ge2 Ge 0.2861 0.7861 0.5000 1
Ge3 Ge 0.7139 0.2139 0.5000 1
Ge4 Ge 0.7861 0.7139 0.5000 1
Br1 Br 0.1273 0.6273 0.0000 1
Br2 Br 0.3727 0.1273 0.0000 1
Br3 Br 0.6273 0.8727 0.0000 1
Br4 Br 0.8727 0.3727 0.0000 1



No. 6
# TlGe4Br8 (PBE, relaxed)
# - Total energy: -3.1007 eV/atom
# - Offset from the most stable computed form: 0 meV/atom
# - Energy relative to the elements, uncorrected: -45.2 kJ per mole of atoms
data_TlGe4Br8
_chemical_formula_sum 'Tl1 Ge4 Br8'
_cell_length_a 8.4729
_cell_length_b 8.4729
_cell_length_c 10.3842
_cell_angle_alpha 127.34
_cell_angle_beta 127.34
_cell_angle_gamma 60.75
_space_group_name_H-M_alt 'P 1'
_space_group_IT_number 1
loop_
_space_group_symop_operation_xyz
'x,y,z'
loop_
_atom_site_label
_atom_site_type_symbol
_atom_site_fract_x
_atom_site_fract_y
_atom_site_fract_z
_atom_site_occupancy
Tl1 Tl 0.0000 0.0000 0.0000 1
Ge1 Ge 0.2512 0.2512 0.9931 1
Ge2 Ge 0.2557 0.7443 0.5000 1
Ge3 Ge 0.7443 0.2557 0.5000 1
Ge4 Ge 0.7488 0.7488 0.0069 1
Br1 Br 0.1924 0.1924 0.6822 1
Br2 Br 0.2084 0.6671 0.1695 1
Br3 Br 0.3224 0.3224 0.3588 1
Br4 Br 0.3329 0.7916 0.8305 1
Br5 Br 0.6671 0.2084 0.1695 1
Br6 Br 0.6776 0.6776 0.6412 1
Br7 Br 0.7916 0.3329 0.8305 1
Br8 Br 0.8076 0.8076 0.3178 1



No. 7
# TlGe2Br4 (PBE, relaxed)
# - Total energy: -2.8920 eV/atom
# - Energy relative to the elements, uncorrected: -26.9 kJ per mole of atoms
data_TlGe2Br4
_chemical_formula_sum 'Tl1 Ge2 Br4'
_cell_length_a 7.1184
_cell_length_b 7.1184
_cell_length_c 7.1184
_cell_angle_alpha 108.21
_cell_angle_beta 108.21
_cell_angle_gamma 112.03
_space_group_name_H-M_alt 'P 1'
_space_group_IT_number 1
loop_
_space_group_symop_operation_xyz
'x,y,z'
loop_
_atom_site_label
_atom_site_type_symbol
_atom_site_fract_x
_atom_site_fract_y
_atom_site_fract_z
_atom_site_occupancy
Tl1 Tl 0.0000 0.0000 0.0000 1
Ge1 Ge 0.2500 0.7500 0.5000 1
Ge2 Ge 0.7500 0.2500 0.5000 1
Br1 Br 0.1827 0.6477 0.8304 1
Br2 Br 0.3523 0.1827 0.5350 1
Br3 Br 0.6477 0.8173 0.4650 1
Br4 Br 0.8173 0.3523 0.1696 1



No. 8
# Tl3GeBr (PBE, relaxed)
# - Total energy: -2.6997 eV/atom
# - Offset from the most stable computed form: 0 meV/atom
# - Energy relative to the elements, uncorrected: -2.1 kJ per mole of atoms
data_Tl3GeBr
_chemical_formula_sum 'Tl3 Ge1 Br1'
_cell_length_a 5.7537
_cell_length_b 5.7537
_cell_length_c 5.7537
_cell_angle_alpha 90.00
_cell_angle_beta 90.00
_cell_angle_gamma 90.00
_space_group_name_H-M_alt 'P 1'
_space_group_IT_number 1
loop_
_space_group_symop_operation_xyz
'x,y,z'
loop_
_atom_site_label
_atom_site_type_symbol
_atom_site_fract_x
_atom_site_fract_y
_atom_site_fract_z
_atom_site_occupancy
Tl1 Tl 0.0000 0.0000 0.5000 1
Tl2 Tl 0.0000 0.5000 0.0000 1
Tl3 Tl 0.5000 0.0000 0.0000 1
Ge1 Ge 0.0000 0.0000 0.0000 1
Br1 Br 0.5000 0.5000 0.5000 1